Record 1
NdEr2ScTl2 | the Alexandria database | GGA-PBE | optimized geometry; total moment = 0.0 μB per cell; Fermi-level density of states = 12.4 states/eV/cell; SG = Pmc2_1 (26)
1.0
4.996 0.000 0.000
0.000 9.821 0.000
0.000 0.000 6.875
Nd Er Sc Tl
2 4 2 4
Direct
0.000 0.047 0.000
0.000 0.953 0.500
0.000 0.315 0.392
0.000 0.685 0.892
0.500 0.452 0.099
0.500 0.548 0.599
0.500 0.200 0.715
0.500 0.800 0.215
0.000 0.366 0.840
0.000 0.634 0.340
0.500 0.129 0.277
0.500 0.871 0.777

Record 2
NdErScTl | the Alexandria database | GGA-PBE | optimized geometry; total moment = 0.1 μB per cell; Fermi-level density of states = 5.9 states/eV/cell; SG = Pmmm (47)
1.0
4.735 0.000 0.000
0.000 4.806 0.000
0.000 0.000 4.822
Nd Er Sc Tl
1 1 1 1
Direct
0.000 0.000 0.000
0.500 0.500 0.000
0.500 0.000 0.500
0.000 0.500 0.500

Record 3
NdEr2TmSc4 | the Alexandria database | GGA-PBE | optimized geometry; total moment = 6.6 μB per cell; Fermi-level density of states = 35.4 states/eV/cell; SG = C2/c (15)
1.0
6.500 -6.324 0.000
6.500 6.324 0.000
-3.267 0.000 5.640
Nd Er Tm Sc
2 4 2 8
Direct
0.000 0.000 0.000
0.000 0.000 0.500
0.000 0.500 0.000
0.500 0.000 0.500
0.500 0.500 0.000
0.500 0.500 0.500
0.000 0.500 0.500
0.500 0.000 0.000
0.252 0.253 0.505
0.253 0.252 0.005
0.253 0.747 0.000
0.253 0.747 0.500
0.747 0.253 0.000
0.747 0.253 0.500
0.747 0.748 0.995
0.748 0.747 0.495

Record 4
NdEr6Tm2Sc3 | the Alexandria database | GGA-PBE | optimized geometry; total moment = 0.0 μB per cell; Fermi-level density of states = 18.0 states/eV/cell; SG = C2/m (12)
1.0
3.003 -5.198 0.000
3.003 5.198 0.000
-1.997 0.000 11.241
Nd Er Tm Sc
1 6 2 3
Direct
0.000 0.000 0.000
0.086 0.420 0.259
0.247 0.247 0.741
0.420 0.086 0.259
0.580 0.914 0.741
0.753 0.753 0.259
0.914 0.580 0.741
0.333 0.667 0.000
0.667 0.333 0.000
0.167 0.833 0.500
0.500 0.500 0.500
0.833 0.167 0.500

Record 5
Nd2Er4TmSc | the Alexandria database | GGA-PBE | optimized geometry; total moment = 0.0 μB per cell; Fermi-level density of states = 12.0 states/eV/cell; SG = P4/mmm (123)
1.0
4.991 0.000 0.000
0.000 4.991 0.000
0.000 0.000 9.902
Nd Er Tm Sc
2 4 1 1
Direct
0.000 0.000 0.000
0.500 0.500 0.500
0.000 0.500 0.246
0.000 0.500 0.754
0.500 0.000 0.246
0.500 0.000 0.754
0.000 0.000 0.500
0.500 0.500 0.000

Record 6
Nd2ErTmSc | the Alexandria database | GGA-PBE | optimized geometry; total moment = 0.0 μB per cell; Fermi-level density of states = 14.8 states/eV/cell; SG = Cmcm (63)
1.0
4.094 -5.649 0.000
4.094 5.649 0.000
0.000 0.000 7.184
Nd Er Tm Sc
4 2 2 2
Direct
0.199 0.199 0.000
0.199 0.199 0.500
0.801 0.801 0.000
0.801 0.801 0.500
0.234 0.766 0.750
0.766 0.234 0.250
0.232 0.768 0.250
0.768 0.232 0.750
0.499 0.501 0.250
0.501 0.499 0.750

Calculated total DFT energy (no corrections) (eV for the cell shown), listed in the same order as above: -52.9 -18.7 -80.3 -59.5 -38.3 -45.9